SrV4SnO12 after structural relaxation. Source: Alexandria via LeMat-Bulk, functional PBE with a Hubbard U.

POSCAR file:
```
SrV4SnO12
1.0
-2.487 3.951 2.628
-3.692 0.253 -3.875
-4.224 -5.114 3.691
Sn V O Sr
1 4 12 1
Direct
0.500 0.500 0.000 Sn
0.500 0.000 0.750 V
0.000 0.500 0.750 V
0.000 0.500 0.250 V
0.500 0.000 0.250 V
0.500 0.000 0.500 O
0.749 0.251 0.249 O
0.251 0.251 0.751 O
0.251 0.749 0.751 O
0.749 0.749 0.249 O
0.251 0.251 0.249 O
0.000 0.500 0.500 O
0.749 0.251 0.751 O
0.500 0.000 0.000 O
0.749 0.749 0.751 O
0.000 0.500 0.000 O
0.251 0.749 0.249 O
0.000 0.000 0.500 Sr
```

Summary:
The total magnetization is 0.135 μB/f.u. As for the density: 4589 kg/m3. For the total energy, the calculation gives -7.063 eV per atom.